The following is a DFT calculation (PBE-GGA) of a geometry-optimized ZrSnAu structure.

The calculation puts the total energy at -5.508 eV per atom. As for the energy relative to the elements: -0.231 eV/atom. The value obtained for the calculated volume is 288.1 Å³ per cell.

```
data_ZrSnAu
_symmetry_space_group_name_H-M 'C m c m'
_symmetry_Int_Tables_number 63
_symmetry_space_group_name_Hall '-C 2c 2'
_cell_length_a 4.7503
_cell_length_b 18.4788
_cell_length_c 3.2821
_cell_angle_alpha 90.00
_cell_angle_beta 90.00
_cell_angle_gamma 90.00
loop_
_atom_site_label
_atom_site_type_symbol
_atom_site_fract_x
_atom_site_fract_y
_atom_site_fract_z
Zr1 Zr 0.0000 0.1961 0.2500
Sn1 Sn 0.0000 0.3577 0.2500
Au1 Au 0.0000 0.0616 0.7500
```

---

The following is a DFT calculation (PBE-GGA) of a geometry-optimized LaGeAu structure.

The calculation puts the total energy at -4.960 eV per atom. As for the energy relative to the elements: -0.686 eV/atom. The value obtained for the calculated volume is 146.4 Å³ per cell.

```
data_LaGeAu
_symmetry_space_group_name_H-M 'P 4/n m m'
_symmetry_Int_Tables_number 129
_cell_length_a 4.5111
_cell_length_b 4.5111
_cell_length_c 7.1956
_cell_angle_alpha 90.00
_cell_angle_beta 90.00
_cell_angle_gamma 90.00
loop_
_symmetry_equiv_pos_as_xyz
'x,y,z'
'-x,-y,-z'
'-y+1/2,x,z'
'y+1/2,-x,-z'
'-x+1/2,-y+1/2,z'
'x+1/2,y+1/2,-z'
'y,-x+1/2,z'
'-y,x+1/2,-z'
'x+1/2,-y,-z'
'-x+1/2,y,z'
'-y,-x,-z'
'y,x,z'
'-x,y+1/2,-z'
'x,-y+1/2,z'
'y+1/2,x+1/2,-z'
'-y+1/2,-x+1/2,z'
loop_
_atom_site_label
_atom_site_type_symbol
_atom_site_fract_x
_atom_site_fract_y
_atom_site_fract_z
La1 La 0.2500 0.2500 0.1882
Ge1 Ge 0.2500 0.2500 0.7412
Au1 Au 0.2500 0.7500 0.5000
```

---

The following is a DFT calculation (PBE-GGA) of a geometry-optimized TiAlFe2 structure.

The calculation puts the total energy at -6.883 eV per atom. As for the energy relative to the elements: 0.258 eV/atom. The value obtained for the calculated volume is 227.2 Å³ per cell.

```
data_TiAlFe2
_symmetry_space_group_name_H-M 'I -4 2 d'
_symmetry_Int_Tables_number 122
_symmetry_space_group_name_Hall 'I -4 2bw'
_cell_length_a 6.5564
_cell_length_b 6.5564
_cell_length_c 5.2848
_cell_angle_alpha 90.00
_cell_angle_beta 90.00
_cell_angle_gamma 90.00
loop_
_atom_site_label
_atom_site_type_symbol
_atom_site_fract_x
_atom_site_fract_y
_atom_site_fract_z
Ti1 Ti 0.0000 0.0000 0.0000
Al1 Al 0.0000 0.0000 0.5000
Fe1 Fe 0.2439 0.2500 0.1250
```

---

The following is a DFT calculation (PBE-GGA) of a geometry-optimized BaTaOs2 structure.

The calculation puts the total energy at -7.968 eV per atom. As for the energy relative to the elements: 1.090 eV/atom. The value obtained for the calculated volume is 166.1 Å³ per cell. Its polymorph energy (0 for the lowest one) is 737 meV/atom.

```
data_BaTaOs2
_symmetry_space_group_name_H-M 'I m m m'
_symmetry_Int_Tables_number 71
_symmetry_space_group_name_Hall '-I 2 2'
_cell_length_a 3.1227
_cell_length_b 5.5245
_cell_length_c 9.6293
_cell_angle_alpha 90.00
_cell_angle_beta 90.00
_cell_angle_gamma 90.00
loop_
_atom_site_label
_atom_site_type_symbol
_atom_site_fract_x
_atom_site_fract_y
_atom_site_fract_z
Ba1 Ba 0.0000 0.0000 0.0000
Ta1 Ta 0.0000 0.0000 0.5000
Os1 Os 0.0000 0.5000 0.2161
```

---

The following is a DFT calculation (PBE-GGA) of a geometry-optimized TaFe4 structure.

The calculation puts the total energy at -7.935 eV per atom. As for the energy relative to the elements: 1.205 eV/atom. The value obtained for the calculated volume is 169.2 Å³ per cell. Its polymorph energy (0 for the lowest one) is 1267 meV/atom.

```
data_TaFe4
_symmetry_space_group_name_H-M 'I m -3 m'
_symmetry_Int_Tables_number 229
_symmetry_space_group_name_Hall '-I 4 2 3'
_cell_length_a 5.5310
_cell_length_b 5.5310
_cell_length_c 5.5310
_cell_angle_alpha 90.00
_cell_angle_beta 90.00
_cell_angle_gamma 90.00
loop_
_atom_site_label
_atom_site_type_symbol
_atom_site_fract_x
_atom_site_fract_y
_atom_site_fract_z
Ta1 Ta 0.0000 0.0000 0.0000
Fe1 Fe 0.2500 0.2500 0.2500
```

---

The following is a DFT calculation (PBE-GGA) of a geometry-optimized RbMn2ZnCl structure.

The calculation puts the total energy at -3.768 eV per atom. The calculation puts the raw formation energy at 717 meV/atom. The value obtained for the calculated volume is 147.1 Å³ per cell. Its polymorph energy (0 for the lowest one) is 0 meV/atom.

```
data_RbMn2ZnCl
_symmetry_space_group_name_H-M 'P 4/m m m'
_symmetry_Int_Tables_number 123
_symmetry_space_group_name_Hall '-P 4 2'
_cell_length_a 4.7330
_cell_length_b 4.7330
_cell_length_c 6.5685
_cell_angle_alpha 90.00
_cell_angle_beta 90.00
_cell_angle_gamma 90.00
loop_
_atom_site_label
_atom_site_type_symbol
_atom_site_fract_x
_atom_site_fract_y
_atom_site_fract_z
Rb1 Rb 0.0000 0.0000 0.0000
Mn1 Mn 0.0000 0.5000 0.5000
Zn1 Zn 0.5000 0.5000 0.0000
Cl1 Cl 0.5000 0.5000 0.5000
```

---

Q: Which of these has the lowest calculated volume?
A: LaGeAu